Record 1
This record from Alexandria via LeMat-Bulk describes crystalline LiNd2O6 at its relaxed geometry. The functional is PBE.

Values from the calculation:
- Polymorph energy (0 for the lowest one): 47.7 meV/atom
- Space group: C2/m (12)
- Formation energy from raw total energies: -16.77 eV per formula unit
- Energy: -57.97 eV for the cell shown

```
LiNd2O6
1.0
2.426 -4.149 -0.732
2.846 0.835 -3.852
6.916 1.224 2.887
Li Nd O
1 2 6
direct
0.500 0.500 0.500
0.895 0.895 0.341
0.105 0.105 0.659
0.105 0.625 0.613
0.913 0.913 0.997
0.895 0.375 0.387
0.625 0.105 0.613
0.375 0.895 0.387
0.087 0.087 0.003
```

Record 2
This record from Alexandria via LeMat-Bulk describes crystalline LiNdO3 at its relaxed geometry. The functional is PBE.

Values from the calculation:
- Space group: Pm-3m (221)
- Formation energy from raw total energies: -9.39 eV per formula unit
- Energy: -30.95 eV for the cell shown

```
LiNdO3
1.0
-1.881 1.570 -2.863
1.564 -2.468 -2.380
-2.867 -2.376 0.580
Li Nd O
1 1 3
direct
0.500 0.500 0.500
0.000 0.000 0.000
0.500 0.500 0.000
0.500 0.000 0.500
0.000 0.500 0.500
```

Computed values of V (unit: Å³/f.u.) for the preceding records, in sequence: 163.59; 53.52.